Material: HfSc5Al4
Method: DFT, PBE
State: relaxed

## Properties
For the total energy, the calculation gives -6.02 eV per atom. Its total magnetization is 0.00 μB per cell. As for the formation energy from the elements: -0.3578 eV per atom.

Lattice parameters (Å, degrees): 3.2336 3.2336 19.2476 90.00 90.00 90.00
Space group P4/mmm (No. 123)
Unique sites:
Hf  0.0000  0.0000  0.0000 (multiplicity 1)
Sc  0.5000  0.5000  0.1121 (multiplicity 2)
Sc  0.5000  0.5000  0.3062 (multiplicity 2)
Sc  0.5000  0.5000  0.5000 (multiplicity 1)
Al  0.0000  0.0000  0.2096 (multiplicity 2)
Al  0.0000  0.0000  0.4030 (multiplicity 2)


Material: Hf2ScAl2
Method: DFT, PBE
State: relaxed

## Properties
For the total energy, the calculation gives -6.85 eV per atom. The calculation puts the energy relative to the lowest polymorph listed for this composition at 195.6 meV per atom. Its total magnetization is 1.82 μB per cell. As for the formation energy from the elements: -0.1065 eV per atom.

Lattice parameters (Å, degrees): 8.3146 8.3146 2.9943 90.00 90.00 90.00
Space group P4/mbm (No. 127)
Unique sites:
Hf  0.1248  0.3752  0.0000 (multiplicity 4)
Sc  0.0000  0.0000  0.0000 (multiplicity 2)
Al  0.1722  0.6722  0.5000 (multiplicity 4)


Material: Hf2ScAl3
Method: DFT, PBE
State: relaxed

## Properties
For the total energy, the calculation gives -6.60 eV per atom. The calculation puts the energy relative to the lowest polymorph listed for this composition at 20.9 meV per atom. Its total magnetization is 0.00 μB per cell. As for the formation energy from the elements: -0.3517 eV per atom.

Lattice parameters (Å, degrees): 14.6637 5.7443 5.6031 90.00 101.60 90.00
Space group C2/c (No. 15)
Unique sites:
Hf  0.1695  0.1197  0.0838 (multiplicity 8)
Sc  0.0000  0.3694  0.7500 (multiplicity 4)
Al  0.0000  0.1253  0.2500 (multiplicity 4)
Al  0.1666  0.3774  0.5395 (multiplicity 8)


Material: Hf4ScAl
Method: DFT, PBE
State: relaxed

## Properties
For the total energy, the calculation gives -8.40 eV per atom. Its total magnetization is 0.00 μB per cell. As for the formation energy from the elements: -0.0900 eV per atom.

Lattice parameters (Å, degrees): 5.3571 9.4256 5.3473 90.00 108.56 90.00
Space group C2/m (No. 12)
Unique sites:
Hf  0.0000  0.1603  0.0000 (multiplicity 4)
Hf  0.0000  0.3293  0.5000 (multiplicity 4)
Sc  0.0000  0.5000  0.0000 (multiplicity 2)
Al  0.0000  0.0000  0.5000 (multiplicity 2)


Material: HfScAl
Method: DFT, PBE
State: relaxed

## Properties
For the total energy, the calculation gives -6.55 eV per atom. The calculation puts the energy relative to the lowest polymorph listed for this composition at 409.4 meV per atom. Its total magnetization is 0.00 μB per cell. As for the formation energy from the elements: 0.1282 eV per atom.

Lattice parameters (Å, degrees): 4.6222 4.6222 23.0879 90.00 90.00 120.00
Space group R-3m (No. 166, hexagonal axes)
Unique sites:
Hf  0.0000  0.0000  0.1271 (multiplicity 6)
Sc  0.0000  0.0000  0.3760 (multiplicity 6)
Al  0.0000  0.0000  0.2496 (multiplicity 6)


Material: Hf2ScAl2
Method: DFT, PBE
State: relaxed

## Properties
For the total energy, the calculation gives -7.05 eV per atom. The calculation puts the energy relative to the lowest polymorph listed for this composition at 0.0 meV per atom. Its total magnetization is 0.00 μB per cell. As for the formation energy from the elements: -0.3020 eV per atom.

Lattice parameters (Å, degrees): 7.7252 7.7252 3.3926 90.00 90.00 90.00
Space group P4/mbm (No. 127)
Unique sites:
Hf  0.1765  0.3235  0.0000 (multiplicity 4)
Sc  0.0000  0.0000  0.5000 (multiplicity 2)
Al  0.1206  0.6206  0.5000 (multiplicity 4)


Material: HfSc4Al2
Method: DFT, PBE
State: relaxed

## Properties
For the total energy, the calculation gives -6.33 eV per atom. Its total magnetization is 0.01 μB per cell. As for the formation energy from the elements: -0.2195 eV per atom.

Lattice parameters (Å, degrees): 4.8648 4.8648 22.0171 90.00 90.00 120.00
Space group R-3m (No. 166, hexagonal axes)
Unique sites:
Hf  0.0000  0.0000  0.0000 (multiplicity 3)
Sc  0.0000  0.0000  0.1347 (multiplicity 6)
Sc  0.0000  0.0000  0.4071 (multiplicity 6)
Al  0.0000  0.0000  0.2710 (multiplicity 6)


Material: HfSc3Al
Method: DFT, PBE
State: relaxed

## Properties
For the total energy, the calculation gives -6.49 eV per atom. The calculation puts the energy relative to the lowest polymorph listed for this composition at 0.0 meV per atom. Its total magnetization is 0.00 μB per cell. As for the formation energy from the elements: 0.0483 eV per atom.

Lattice parameters (Å, degrees): 4.5485 11.0352 9.5223 90.00 90.00 90.00
Space group Cmcm (No. 63)
Unique sites:
Hf  0.0000  0.1591  0.2500 (multiplicity 4)
Sc  0.0000  0.1534  0.7500 (multiplicity 4)
Sc  0.0000  0.3531  0.9997 (multiplicity 8)
Al  0.0000  0.4968  0.7500 (multiplicity 4)


Material: HfScAl
Method: DFT, PBE
State: relaxed

## Properties
For the total energy, the calculation gives -6.92 eV per atom. The calculation puts the energy relative to the lowest polymorph listed for this composition at 38.5 meV per atom. Its total magnetization is 0.00 μB per cell. As for the formation energy from the elements: -0.2427 eV per atom.

Lattice parameters (Å, degrees): 8.0697 8.0697 3.3390 90.00 90.00 120.00
Space group P-62m (No. 189)
Unique sites:
Hf  0.0000  0.7120  0.0000 (multiplicity 3)
Sc  0.0000  0.3756  0.5000 (multiplicity 3)
Al  0.0000  0.0000  0.5000 (multiplicity 1)
Al  0.3333  0.6667  0.0000 (multiplicity 2)


Material: HfSc5Al3
Method: DFT, PBE
State: relaxed

## Properties
For the total energy, the calculation gives -6.20 eV per atom. Its total magnetization is 0.00 μB per cell. As for the formation energy from the elements: -0.3282 eV per atom.

Lattice parameters (Å, degrees): 8.4496 8.4496 6.0939 90.00 90.00 120.00
Space group P6_3/mcm (No. 193)
Unique sites:
Hf  0.0000  0.0000  0.0000 (multiplicity 2)
Sc  0.0000  0.3345  0.2500 (multiplicity 6)
Sc  0.3333  0.6667  0.0000 (multiplicity 4)
Al  0.0000  0.3299  0.7500 (multiplicity 6)


Material: Hf4ScAl2
Method: DFT, PBE
State: relaxed

## Properties
For the total energy, the calculation gives -7.70 eV per atom. Its total magnetization is 0.00 μB per cell. As for the formation energy from the elements: -0.0426 eV per atom.

Lattice parameters (Å, degrees): 5.7853 10.1606 5.8655 90.00 118.32 90.00
Space group C2/m (No. 12)
Unique sites:
Hf  0.0000  0.1861  0.0000 (multiplicity 4)
Hf  0.0000  0.2523  0.5000 (multiplicity 4)
Sc  0.0000  0.5000  0.0000 (multiplicity 2)
Al  0.2053  0.0000  0.4154 (multiplicity 4)


Material: Hf2ScAl3
Method: DFT, PBE
State: relaxed

## Properties
For the total energy, the calculation gives -6.62 eV per atom. The calculation puts the energy relative to the lowest polymorph listed for this composition at 0.0 meV per atom. Its total magnetization is 0.00 μB per cell. As for the formation energy from the elements: -0.3726 eV per atom.

Lattice parameters (Å, degrees): 4.2827 8.2914 12.8236 90.00 90.00 90.00
Space group Imma (No. 74)
Unique sites:
Hf  0.0000  0.2500  0.0013 (multiplicity 4)
Hf  0.0000  0.2500  0.3325 (multiplicity 4)
Sc  0.0000  0.2500  0.6666 (multiplicity 4)
Al  0.0000  0.0000  0.5000 (multiplicity 4)
Al  0.0000  0.0019  0.1651 (multiplicity 8)


Material: Hf3ScAl8
Method: DFT, PBE
State: relaxed

## Properties
For the total energy, the calculation gives -5.97 eV per atom. The calculation puts the energy relative to the lowest polymorph listed for this composition at 0.0 meV per atom. Its total magnetization is 0.00 μB per cell. As for the formation energy from the elements: -0.4557 eV per atom.

Lattice parameters (Å, degrees): 5.2967 5.2967 25.9343 90.00 90.00 120.00
Space group R3m (No. 160, hexagonal axes)
Unique sites:
Hf  0.0000  0.0000  0.0000 (multiplicity 3)
Hf  0.0000  0.0000  0.1239 (multiplicity 3)
Hf  0.0000  0.0000  0.6253 (multiplicity 3)
Sc  0.0000  0.0000  0.4999 (multiplicity 3)
Al  0.0000  0.0000  0.3123 (multiplicity 3)
Al  0.0000  0.0000  0.8122 (multiplicity 3)
Al  0.0000  0.5000  0.5627 (multiplicity 9)
Al  0.1669  0.3339  0.3952 (multiplicity 9)


Material: Hf2ScAl2
Method: DFT, PBE
State: relaxed

## Properties
For the total energy, the calculation gives -6.97 eV per atom. The calculation puts the energy relative to the lowest polymorph listed for this composition at 74.5 meV per atom. Its total magnetization is 0.47 μB per cell. As for the formation energy from the elements: -0.2275 eV per atom.

Lattice parameters (Å, degrees): 3.0433 21.7969 3.0311 90.00 90.00 90.00
Space group Cmmm (No. 65)
Unique sites:
Hf  0.0000  0.1868  0.0000 (multiplicity 4)
Sc  0.0000  0.0000  0.0000 (multiplicity 2)
Al  0.0000  0.4039  0.5000 (multiplicity 4)


Material: HfSc9Al2
Method: DFT, PBE
State: relaxed

## Properties
For the total energy, the calculation gives -6.35 eV per atom. Its total magnetization is 0.00 μB per cell. As for the formation energy from the elements: -0.1455 eV per atom.

Lattice parameters (Å, degrees): 4.4488 4.4488 13.5156 90.00 90.00 90.00
Space group P4/mmm (No. 123)
Unique sites:
Hf  0.0000  0.0000  0.0000 (multiplicity 1)
Sc  0.0000  0.5000  0.1703 (multiplicity 4)
Sc  0.0000  0.5000  0.5000 (multiplicity 2)
Sc  0.5000  0.5000  0.0000 (multiplicity 1)
Sc  0.5000  0.5000  0.3390 (multiplicity 2)
Al  0.0000  0.0000  0.3372 (multiplicity 2)


Material: Hf3Sc2Al
Method: DFT, PBE
State: relaxed

## Properties
For the total energy, the calculation gives -7.82 eV per atom. Its total magnetization is 0.00 μB per cell. As for the formation energy from the elements: -0.1048 eV per atom.

Lattice parameters (Å, degrees): 4.3963 13.1390 4.4463 90.00 90.00 90.00
Space group Cmmm (No. 65)
Unique sites:
Hf  0.0000  0.0000  0.0000 (multiplicity 2)
Hf  0.0000  0.3350  0.0000 (multiplicity 4)
Sc  0.0000  0.1616  0.5000 (multiplicity 4)
Al  0.0000  0.5000  0.5000 (multiplicity 2)


Material: Hf3Sc7Al
Method: DFT, PBE
State: relaxed

## Properties
For the total energy, the calculation gives -6.89 eV per atom. Its total magnetization is 0.00 μB per cell. As for the formation energy from the elements: 0.1977 eV per atom.

Lattice parameters (Å, degrees): 6.3244 6.3244 7.5951 90.00 90.00 120.00
Space group P3m1 (No. 156)
Unique sites:
Hf  0.1696  0.3392  0.0000 (multiplicity 3)
Sc  0.0036  0.5018  0.3277 (multiplicity 3)
Sc  0.3293  0.1646  0.6716 (multiplicity 3)
Sc  0.3333  0.6667  0.6772 (multiplicity 1)
Al  0.0000  0.0000  0.3335 (multiplicity 1)


Material: HfScAl2
Method: DFT, PBE
State: relaxed

## Properties
For the total energy, the calculation gives -6.27 eV per atom. Its total magnetization is 0.00 μB per cell. As for the formation energy from the elements: -0.3250 eV per atom.

Lattice parameters (Å, degrees): 3.4302 3.4302 6.4660 90.00 90.00 90.00
Space group P4/mmm (No. 123)
Unique sites:
Hf  0.0000  0.0000  0.0000 (multiplicity 1)
Sc  0.0000  0.0000  0.5000 (multiplicity 1)
Al  0.5000  0.5000  0.2454 (multiplicity 2)


Material: HfSc3Al
Method: DFT, PBE
State: relaxed

## Properties
For the total energy, the calculation gives -5.93 eV per atom. The calculation puts the energy relative to the lowest polymorph listed for this composition at 555.7 meV per atom. Its total magnetization is 0.00 μB per cell. As for the formation energy from the elements: 0.6040 eV per atom.

Lattice parameters (Å, degrees): 5.0778 5.0778 5.0778 90.00 90.00 90.00
Space group Pm-3m (No. 221)
Unique sites:
Hf  0.0000  0.0000  0.0000 (multiplicity 1)
Sc  0.0000  0.5000  0.5000 (multiplicity 3)
Al  0.5000  0.5000  0.5000 (multiplicity 1)


Material: Hf3ScAl8
Method: DFT, PBE
State: relaxed

## Properties
For the total energy, the calculation gives -5.96 eV per atom. The calculation puts the energy relative to the lowest polymorph listed for this composition at 6.5 meV per atom. Its total magnetization is 0.00 μB per cell. As for the formation energy from the elements: -0.4492 eV per atom.

Lattice parameters (Å, degrees): 5.2787 5.2787 8.6984 90.00 90.00 120.00
Space group P3m1 (No. 156)
Unique sites:
Hf  0.0000  0.0000  0.0000 (multiplicity 1)
Hf  0.0000  0.0000  0.3668 (multiplicity 1)
Hf  0.3333  0.6667  0.8703 (multiplicity 1)
Sc  0.3333  0.6667  0.5005 (multiplicity 1)
Al  0.0085  0.5043  0.1833 (multiplicity 3)
Al  0.3243  0.1621  0.6863 (multiplicity 3)
Al  0.6667  0.3333  0.4346 (multiplicity 1)
Al  0.6667  0.3333  0.9347 (multiplicity 1)